First-principles (PBE-GGA) data for crystalline ZnReO2F at its relaxed geometry, as listed in Alexandria via LeMat-Bulk.

Calculated values
Formation energy without anion corrections   -0.003 eV per atom
N(E_F)   0.518 states/eV/atom
Symmetry   P4/mmm (123)
Total magnetization   4.21 μB per cell

Unit cell a=3.9786 b=3.9786 c=3.8086 alpha=90.00 beta=90.00 gamma=90.00
Element x y z (fractional)
1 Re 0.5000 0.5000 0.5000
2 Zn 0.0000 0.0000 0.0000
3 O 0.0000 0.5000 0.0000
4 O 0.5000 0.0000 0.0000
5 F 0.0000 0.0000 0.5000